(1)
First-principles (PBE) data for crystalline Ca2Tl6Pb at its relaxed geometry, as listed in Alexandria via LeMat-Bulk.

## Properties
The formation energy is -0.191 eV per atom. The total magnetization comes out at 0.00 μB per formula unit. Its total DFT energy (no corrections) is -2.625 eV per atom.

abc: 4.769 8.256 7.633
angles: 108.78 108.20 90.00
Positions (direct):
Ca 0.057 0.811 0.115
Ca 0.943 0.189 0.885
Tl 0.611 0.160 0.222
Tl 0.829 0.501 0.659
Tl 0.171 0.499 0.341
Tl 0.389 0.840 0.778
Tl 0.731 0.835 0.461
Tl 0.269 0.165 0.539
Pb 0.500 0.500 0.000



(2)
First-principles (PBE) data for crystalline CaTlPb2 at its relaxed geometry, as listed in Alexandria via LeMat-Bulk.

## Properties
The formation energy is -0.259 eV per atom. The total magnetization comes out at 0.00 μB per formula unit. Its total DFT energy (no corrections) is -3.205 eV per atom.

abc: 5.888 7.854 3.695
angles: 61.51 90.25 121.15
Positions (direct):
Ca 0.500 0.000 0.500
Pb 0.000 0.000 0.000
Pb 0.000 0.500 0.500
Tl 0.500 0.500 0.000



(3)
First-principles (PBE) data for crystalline Ca3TlPb at its relaxed geometry, as listed in Alexandria via LeMat-Bulk.

## Properties
The formation energy is -0.403 eV per atom. The total magnetization comes out at 0.00 μB per formula unit. Its total DFT energy (no corrections) is -2.818 eV per atom.

abc: 5.650 5.657 10.515
angles: 90.00 74.41 90.00
Positions (direct):
Ca 0.891 0.750 0.867
Ca 0.574 0.250 0.500
Ca 0.258 0.750 0.132
Ca 0.074 0.750 0.500
Ca 0.390 0.250 0.868
Ca 0.758 0.250 0.133
Tl 0.674 0.750 0.300
Tl 0.974 0.250 0.700
Pb 0.173 0.250 0.303
Pb 0.476 0.750 0.697



(4)
First-principles (PBE) data for crystalline Ca5Tl4Pb at its relaxed geometry, as listed in Alexandria via LeMat-Bulk.

## Properties
The formation energy is -0.458 eV per atom. The total magnetization comes out at 0.00 μB per formula unit. Its total DFT energy (no corrections) is -2.776 eV per atom.

abc: 3.895 3.895 19.563
angles: 90.00 90.00 90.00
Positions (direct):
Ca 0.500 0.500 0.303
Ca 0.500 0.500 0.697
Ca 0.500 0.500 0.500
Ca 0.500 0.500 0.895
Ca 0.500 0.500 0.105
Tl 0.000 0.000 0.794
Tl 0.000 0.000 0.600
Tl 0.000 0.000 0.206
Tl 0.000 0.000 0.400
Pb 0.000 0.000 0.000



(5)
First-principles (PBE) data for crystalline CaTlPb2 at its relaxed geometry, as listed in Alexandria via LeMat-Bulk.

## Properties
The formation energy is -0.269 eV per atom. The total magnetization comes out at 0.00 μB per formula unit. Its total DFT energy (no corrections) is -3.215 eV per atom.

abc: 5.703 6.950 6.963
angles: 119.97 90.00 90.00
Positions (direct):
Pb 0.250 0.332 0.160
Pb 0.750 0.668 0.840
Pb 0.750 0.173 0.840
Pb 0.250 0.827 0.160
Ca 0.250 0.830 0.661
Ca 0.750 0.170 0.339
Tl 0.750 0.667 0.334
Tl 0.250 0.333 0.666



(6)
First-principles (PBE) data for crystalline CaTlPb2 at its relaxed geometry, as listed in Alexandria via LeMat-Bulk.

## Properties
The formation energy is -0.266 eV per atom. The total magnetization comes out at 0.00 μB per formula unit. Its total DFT energy (no corrections) is -3.212 eV per atom.

abc: 6.105 6.105 6.105
angles: 132.74 132.74 69.06
Positions (direct):
Tl 0.500 0.500 0.000
Ca 0.750 0.250 0.500
Pb 0.000 0.000 0.000
Pb 0.250 0.750 0.500



(7)
First-principles (PBE) data for crystalline Ca3Tl4Pb2 at its relaxed geometry, as listed in Alexandria via LeMat-Bulk.

## Properties
The formation energy is -0.293 eV per atom. The total magnetization comes out at 0.00 μB per formula unit. Its total DFT energy (no corrections) is -2.836 eV per atom.

abc: 5.312 6.390 9.767
angles: 112.71 90.00 114.56
Positions (direct):
Pb 0.659 0.317 0.326
Pb 0.341 0.683 0.674
Ca 0.664 0.327 0.671
Ca 0.336 0.673 0.329
Ca 0.000 0.000 0.000
Tl 0.678 0.355 0.012
Tl 0.322 0.645 0.988
Tl 0.992 0.984 0.658
Tl 0.008 0.016 0.342



(8)
First-principles (PBE) data for crystalline Ca3TlPb at its relaxed geometry, as listed in Alexandria via LeMat-Bulk.

## Properties
The formation energy is -0.085 eV per atom. The total magnetization comes out at 0.00 μB per formula unit. Its total DFT energy (no corrections) is -2.501 eV per atom.

abc: 6.003 6.003 6.003
angles: 90.00 90.00 90.00
Positions (direct):
Ca 0.000 0.000 0.500
Ca 0.500 0.000 0.000
Ca 0.000 0.500 0.000
Pb 0.000 0.000 0.000
Tl 0.500 0.500 0.500



(9)
First-principles (PBE) data for crystalline Ca2Tl9Pb at its relaxed geometry, as listed in Alexandria via LeMat-Bulk.

## Properties
The formation energy is -0.144 eV per atom. The total magnetization comes out at 0.00 μB per formula unit. Its total DFT energy (no corrections) is -2.561 eV per atom.

abc: 5.073 5.073 13.863
angles: 90.00 90.00 90.00
Positions (direct):
Ca 0.000 0.000 0.668
Ca 0.000 0.000 0.332
Tl 0.500 0.500 0.340
Tl 0.500 0.500 0.660
Tl 0.000 0.500 0.833
Tl 0.000 0.500 0.167
Tl 0.500 0.000 0.833
Tl 0.500 0.500 0.000
Tl 0.000 0.500 0.500
Tl 0.500 0.000 0.500
Tl 0.500 0.000 0.167
Pb 0.000 0.000 0.000



(10)
First-principles (PBE) data for crystalline Ca2Tl3Pb2 at its relaxed geometry, as listed in Alexandria via LeMat-Bulk.

## Properties
The formation energy is -0.200 eV per atom. The total magnetization comes out at 0.00 μB per formula unit. Its total DFT energy (no corrections) is -2.846 eV per atom.

abc: 4.818 4.989 9.894
angles: 75.06 75.86 90.09
Positions (direct):
Ca 0.620 0.121 0.758
Ca 0.380 0.879 0.242
Tl 0.747 0.747 0.506
Tl 0.000 0.000 0.000
Tl 0.253 0.253 0.494
Pb 0.115 0.618 0.766
Pb 0.885 0.382 0.234



(11)
First-principles (PBE) data for crystalline CaTlPb at its relaxed geometry, as listed in Alexandria via LeMat-Bulk.

## Properties
The formation energy is -0.191 eV per atom. The total magnetization comes out at 0.00 μB per formula unit. Its total DFT energy (no corrections) is -2.883 eV per atom.

abc: 5.311 5.311 5.311
angles: 60.00 60.00 60.00
Positions (direct):
Tl 0.000 0.000 0.000
Ca 0.500 0.500 0.500
Pb 0.750 0.750 0.750



(12)
First-principles (PBE) data for crystalline CaTlPb2 at its relaxed geometry, as listed in Alexandria via LeMat-Bulk.

## Properties
The formation energy is -0.216 eV per atom. The total magnetization comes out at 0.00 μB per formula unit. Its total DFT energy (no corrections) is -3.162 eV per atom.

abc: 5.584 5.584 5.584
angles: 60.00 60.00 60.00
Positions (direct):
Pb 0.250 0.250 0.250
Pb 0.000 0.000 0.000
Ca 0.500 0.500 0.500
Tl 0.750 0.750 0.750



(13)
First-principles (PBE) data for crystalline CaTlPb at its relaxed geometry, as listed in Alexandria via LeMat-Bulk.

## Properties
The formation energy is -0.141 eV per atom. The total magnetization comes out at 0.00 μB per formula unit. Its total DFT energy (no corrections) is -2.833 eV per atom.

abc: 3.802 3.802 7.698
angles: 90.00 90.00 120.00
Positions (direct):
Pb 0.667 0.333 0.340
Ca 0.000 0.000 0.997
Tl 0.333 0.667 0.663



(14)
First-principles (PBE) data for crystalline Ca3Tl2Pb at its relaxed geometry, as listed in Alexandria via LeMat-Bulk.

## Properties
The formation energy is -0.474 eV per atom. The total magnetization comes out at 0.00 μB per formula unit. Its total DFT energy (no corrections) is -2.882 eV per atom.

abc: 3.823 5.583 8.835
angles: 108.42 90.00 90.00
Positions (direct):
Tl 0.000 0.672 0.344
Tl 0.000 0.328 0.656
Ca 0.500 0.166 0.332
Ca 0.500 0.834 0.668
Ca 0.500 0.500 0.000
Pb 0.000 0.000 0.000



(15)
First-principles (PBE) data for crystalline Ca5TlPb4 at its relaxed geometry, as listed in Alexandria via LeMat-Bulk.

## Properties
The formation energy is -0.502 eV per atom. The total magnetization comes out at 0.00 μB per formula unit. Its total DFT energy (no corrections) is -3.223 eV per atom.

abc: 3.904 3.904 19.969
angles: 90.00 90.00 90.00
Positions (direct):
Pb 0.000 0.000 0.601
Pb 0.000 0.000 0.399
Pb 0.000 0.000 0.804
Pb 0.000 0.000 0.196
Ca 0.500 0.500 0.298
Ca 0.500 0.500 0.500
Ca 0.500 0.500 0.702
Ca 0.500 0.500 0.904
Ca 0.500 0.500 0.096
Tl 0.000 0.000 0.000



(16)
First-principles (PBE) data for crystalline CaTlPb6 at its relaxed geometry, as listed in Alexandria via LeMat-Bulk.

## Properties
The formation energy is -0.130 eV per atom. The total magnetization comes out at 0.00 μB per formula unit. Its total DFT energy (no corrections) is -3.457 eV per atom.

abc: 4.920 4.920 10.245
angles: 90.00 90.00 90.00
Positions (direct):
Tl 0.000 0.000 0.500
Pb 0.500 0.000 0.247
Pb 0.500 0.000 0.753
Pb 0.500 0.500 0.500
Pb 0.500 0.500 0.000
Pb 0.000 0.500 0.247
Pb 0.000 0.500 0.753
Ca 0.000 0.000 0.000



(17)
First-principles (PBE) data for crystalline CaTl2Pb2 at its relaxed geometry, as listed in Alexandria via LeMat-Bulk.

## Properties
The formation energy is -0.198 eV per atom. The total magnetization comes out at 0.00 μB per formula unit. Its total DFT energy (no corrections) is -3.028 eV per atom.

abc: 6.214 6.730 9.155
angles: 112.20 90.00 117.49
Positions (direct):
Ca 0.659 0.000 0.750
Ca 0.341 0.000 0.250
Tl 0.859 0.402 0.152
Tl 0.544 0.402 0.652
Tl 0.456 0.598 0.348
Tl 0.141 0.598 0.848
Pb 0.940 0.194 0.451
Pb 0.254 0.194 0.951
Pb 0.746 0.806 0.049
Pb 0.060 0.806 0.549



(18)
First-principles (PBE) data for crystalline CaTlPb2 at its relaxed geometry, as listed in Alexandria via LeMat-Bulk.

## Properties
The formation energy is -0.195 eV per atom. The total magnetization comes out at 0.00 μB per formula unit. Its total DFT energy (no corrections) is -3.141 eV per atom.

abc: 3.688 3.688 9.204
angles: 90.00 90.00 90.00
Positions (direct):
Ca 0.500 0.500 0.750
Pb 0.000 0.000 0.993
Pb 0.000 0.000 0.507
Tl 0.500 0.500 0.250



(19)
First-principles (PBE) data for crystalline Ca5Tl2Pb at its relaxed geometry, as listed in Alexandria via LeMat-Bulk.

## Properties
The formation energy is -0.402 eV per atom. The total magnetization comes out at 0.00 μB per formula unit. Its total DFT energy (no corrections) is -2.708 eV per atom.

abc: 8.456 8.456 9.480
angles: 116.49 116.49 90.00
Positions (direct):
Ca 0.500 0.500 0.000
Ca 0.685 0.185 0.709
Ca 0.476 0.315 0.291
Ca 0.524 0.685 0.709
Ca 0.000 0.000 0.000
Ca 0.185 0.024 0.709
Ca 0.024 0.524 0.709
Ca 0.315 0.815 0.291
Ca 0.976 0.476 0.291
Ca 0.815 0.976 0.291
Pb 0.750 0.750 0.500
Pb 0.250 0.250 0.500
Tl 0.372 0.872 0.000
Tl 0.628 0.128 0.000
Tl 0.872 0.628 0.000
Tl 0.128 0.372 0.000



(20)
First-principles (PBE) data for crystalline CaTl4Pb15 at its relaxed geometry, as listed in Alexandria via LeMat-Bulk.

## Properties
The formation energy is -0.042 eV per atom. The total magnetization comes out at 0.00 μB per formula unit. Its total DFT energy (no corrections) is -3.397 eV per atom.

abc: 4.999 4.999 24.941
angles: 90.00 90.00 90.00
Positions (direct):
Tl 0.000 0.000 0.800
Tl 0.000 0.000 0.600
Tl 0.000 0.000 0.200
Tl 0.000 0.000 0.400
Ca 0.000 0.000 0.000
Pb 0.000 0.500 0.500
Pb 0.500 0.500 0.000
Pb 0.500 0.000 0.500
Pb 0.000 0.500 0.701
Pb 0.000 0.500 0.099
Pb 0.000 0.500 0.299
Pb 0.500 0.000 0.901
Pb 0.500 0.500 0.600
Pb 0.500 0.500 0.800
Pb 0.500 0.000 0.099
Pb 0.000 0.500 0.901
Pb 0.500 0.000 0.299
Pb 0.500 0.000 0.701
Pb 0.500 0.500 0.400
Pb 0.500 0.500 0.200



(21)
First-principles (PBE) data for crystalline CaTl3Pb4 at its relaxed geometry, as listed in Alexandria via LeMat-Bulk.

## Properties
The formation energy is -0.030 eV per atom. The total magnetization comes out at 0.00 μB per formula unit. Its total DFT energy (no corrections) is -3.022 eV per atom.

abc: 3.441 6.534 11.830
angles: 106.73 98.36 90.00
Positions (direct):
Pb 0.125 0.370 0.250
Pb 0.258 0.768 0.515
Pb 0.875 0.630 0.750
Pb 0.742 0.232 0.485
Tl 0.000 0.500 0.000
Tl 0.124 0.875 0.247
Tl 0.876 0.125 0.753
Ca 0.500 0.000 0.000



(22)
First-principles (PBE) data for crystalline Ca6TlPb5 at its relaxed geometry, as listed in Alexandria via LeMat-Bulk.

## Properties
The formation energy is -0.510 eV per atom. The total magnetization comes out at 0.00 μB per formula unit. Its total DFT energy (no corrections) is -3.253 eV per atom.

abc: 5.631 7.594 8.990
angles: 90.00 71.75 90.00
Positions (direct):
Pb 0.661 0.000 0.678
Pb 0.668 0.500 0.664
Pb 0.339 0.000 0.322
Pb 0.332 0.500 0.336
Pb 0.000 0.500 0.000
Ca 0.500 0.744 0.000
Ca 0.500 0.256 0.000
Ca 0.833 0.752 0.334
Ca 0.167 0.752 0.666
Ca 0.833 0.248 0.334
Ca 0.167 0.248 0.666
Tl 0.000 0.000 0.000



(23)
First-principles (PBE) data for crystalline Ca2TlPb2 at its relaxed geometry, as listed in Alexandria via LeMat-Bulk.

## Properties
The formation energy is -0.361 eV per atom. The total magnetization comes out at 0.00 μB per formula unit. Its total DFT energy (no corrections) is -3.119 eV per atom.

abc: 8.382 8.382 4.553
angles: 90.00 90.00 90.00
Positions (direct):
Tl 0.000 0.000 0.000
Tl 0.500 0.500 0.000
Pb 0.629 0.129 0.000
Pb 0.871 0.629 0.000
Pb 0.129 0.371 0.000
Pb 0.371 0.871 0.000
Ca 0.171 0.671 0.500
Ca 0.329 0.171 0.500
Ca 0.671 0.829 0.500
Ca 0.829 0.329 0.500



(24)
First-principles (PBE) data for crystalline Ca4Tl7Pb at its relaxed geometry, as listed in Alexandria via LeMat-Bulk.

## Properties
The formation energy is -0.221 eV per atom. The total magnetization comes out at 0.00 μB per formula unit. Its total DFT energy (no corrections) is -2.578 eV per atom.

abc: 5.994 11.580 7.343
angles: 73.16 89.16 51.08
Positions (direct):
Tl 0.872 0.358 0.796
Tl 0.128 0.642 0.204
Tl 0.500 0.000 0.000
Tl 0.855 0.382 0.308
Tl 0.792 0.966 0.443
Tl 0.145 0.618 0.692
Tl 0.208 0.034 0.557
Ca 0.449 0.283 0.598
Ca 0.551 0.717 0.402
Ca 0.431 0.315 0.089
Ca 0.569 0.685 0.911
Pb 0.000 0.000 0.000